<A>
BeTcRh after structural relaxation. Source: Alexandria via LeMat-Bulk, functional GGA-PBE.

Lattice parameters (Å, degrees): 3.513 3.513 6.238 90.00 90.00 90.00
Space group P4/nmm (No. 129, origin choice 2)
One atom of each set of equivalent atoms:
Be: 0.250 0.250 0.195
Tc: 0.250 0.750 0.500
Rh: 0.250 0.250 0.838

Output
Theoretical density   9.1 g cm⁻³
Total magnetic moment   0.0 Bohr magnetons per cell

---

<B>
BeTcRh after structural relaxation. Source: Alexandria via LeMat-Bulk, functional GGA-PBE.

Lattice parameters (Å, degrees): 2.819 4.135 6.482 90.00 102.55 90.00
Space group P2_1 (No. 4)
One atom of each set of equivalent atoms:
Be: 0.064 0.000 0.129
Tc: 0.272 0.501 0.544
Rh: 0.414 0.001 0.829

Output
Theoretical density   9.5 g cm⁻³
Total magnetic moment   0.0 Bohr magnetons per cell

---

<C>
BeTcRh after structural relaxation. Source: Alexandria via LeMat-Bulk, functional GGA-PBE.

Lattice parameters (Å, degrees): 9.792 2.803 5.598 90.00 106.79 90.00
Space group C2/m (No. 12)
One atom of each set of equivalent atoms:
Be: 0.177 0.000 0.053
Tc: 0.022 0.500 0.224
Rh: 0.180 0.000 0.641

Output
Theoretical density   9.5 g cm⁻³
Total magnetic moment   0.0 Bohr magnetons per cell

---

The winner here is <B>, beating the second structure by 61 meV/atom.